No. 1
Density functional theory data (GGA-PBE) for a relaxed TbPmI2 crystal.

Energy above the lowest structure with this stoichiometry   0 meV per atom
V   123 Å³/f.u.
Final energy   -3.893 eV per atom
E_form (uncorrected)   -17.82 kcal/mol of atoms

Lattice parameters (Å, degrees): 9.946 9.946 9.946 22.20 22.20 22.20
Sites, in units of the cell vectors:
Tb  0.000  0.000  0.000
Pm  0.837  0.837  0.837
I  0.418  0.418  0.418
I  0.586  0.586  0.586

No. 2
Density functional theory data (GGA-PBE) for a relaxed TbPmI2 crystal.

Energy above the lowest structure with this stoichiometry   89 meV per atom
V   140 Å³/f.u.
Final energy   -3.804 eV per atom
E_form (uncorrected)   -15.76 kcal/mol of atoms

Lattice parameters (Å, degrees): 11.043 11.043 11.043 20.16 20.16 20.16
Sites, in units of the cell vectors:
Tb  0.000  0.000  0.000
Pm  0.500  0.500  0.500
I  0.401  0.401  0.401
I  0.599  0.599  0.599

No. 3
Density functional theory data (GGA-PBE) for a relaxed Tb2PmI8 crystal.

V   622 Å³/f.u.
Final energy   -3.628 eV per atom
E_form (uncorrected)   -28.30 kcal/mol of atoms

Lattice parameters (Å, degrees): 9.430 9.430 7.347 91.48 91.48 72.15
Sites, in units of the cell vectors:
Tb  0.181  0.181  0.143
Tb  0.819  0.819  0.857
Pm  0.000  0.000  0.500
I  0.129  0.712  0.736
I  0.179  0.179  0.738
I  0.288  0.871  0.264
I  0.361  0.361  0.257
I  0.639  0.639  0.743
I  0.712  0.129  0.736
I  0.821  0.821  0.262
I  0.871  0.288  0.264

No. 4
Density functional theory data (GGA-PBE) for a relaxed TbPm2I6 crystal.

Energy above the lowest structure with this stoichiometry   60 meV per atom
V   363 Å³/f.u.
Final energy   -3.807 eV per atom
E_form (uncorrected)   -27.75 kcal/mol of atoms

Lattice parameters (Å, degrees): 8.404 8.404 8.404 54.19 54.19 54.19
Sites, in units of the cell vectors:
Tb  0.000  0.000  0.000
Pm  0.164  0.164  0.164
Pm  0.328  0.328  0.328
I  0.063  0.427  0.748
I  0.251  0.898  0.591
I  0.427  0.748  0.063
I  0.591  0.251  0.898
I  0.748  0.063  0.427
I  0.898  0.591  0.251

No. 5
Density functional theory data (GGA-PBE) for a relaxed TbPm2I6 crystal.

Energy above the lowest structure with this stoichiometry   0 meV per atom
V   373 Å³/f.u.
Final energy   -3.867 eV per atom
E_form (uncorrected)   -29.14 kcal/mol of atoms

Lattice parameters (Å, degrees): 7.261 7.261 8.162 90.00 90.00 120.00
Sites, in units of the cell vectors:
Tb  0.000  0.000  0.000
Pm  0.333  0.667  0.000
Pm  0.667  0.333  0.000
I  0.000  0.327  0.246
I  0.000  0.673  0.754
I  0.327  0.000  0.246
I  0.327  0.327  0.754
I  0.673  0.000  0.754
I  0.673  0.673  0.246

No. 6
Density functional theory data (GGA-PBE) for a relaxed Tb2PmI crystal.

Energy above the lowest structure with this stoichiometry   0 meV per atom
V   129 Å³/f.u.
Final energy   -4.256 eV per atom
E_form (uncorrected)   -8.43 kcal/mol of atoms

Lattice parameters (Å, degrees): 10.782 10.782 10.782 20.07 20.07 20.07
Sites, in units of the cell vectors:
Tb  0.245  0.245  0.245
Tb  0.755  0.755  0.755
Pm  0.000  0.000  0.000
I  0.500  0.500  0.500

No. 7
Density functional theory data (GGA-PBE) for a relaxed TbPmI4 crystal.

Energy above the lowest structure with this stoichiometry   98 meV per atom
V   229 Å³/f.u.
Final energy   -3.752 eV per atom
E_form (uncorrected)   -26.64 kcal/mol of atoms

Lattice parameters (Å, degrees): 7.418 7.418 7.418 130.79 130.79 72.14
Sites, in units of the cell vectors:
Tb  0.000  0.000  0.000
Pm  0.250  0.750  0.500
I  0.261  0.261  0.000
I  0.516  0.016  0.500
I  0.739  0.739  0.000
I  0.984  0.484  0.500

No. 8
Density functional theory data (GGA-PBE) for a relaxed TbPmI4 crystal.

Energy above the lowest structure with this stoichiometry   0 meV per atom
V   245 Å³/f.u.
Final energy   -3.850 eV per atom
E_form (uncorrected)   -28.90 kcal/mol of atoms

Lattice parameters (Å, degrees): 7.242 4.174 8.421 90.00 105.95 90.00
Sites, in units of the cell vectors:
Tb  0.000  0.000  0.000
Pm  0.500  0.500  0.000
I  0.239  0.500  0.244
I  0.247  0.000  0.751
I  0.753  0.000  0.249
I  0.761  0.500  0.756

No. 9
Density functional theory data (GGA-PBE) for a relaxed Tb2PmI crystal.

Energy above the lowest structure with this stoichiometry   32 meV per atom
V   131 Å³/f.u.
Final energy   -4.224 eV per atom
E_form (uncorrected)   -7.69 kcal/mol of atoms

Lattice parameters (Å, degrees): 10.795 10.795 10.795 20.18 20.18 20.18
Sites, in units of the cell vectors:
Tb  0.000  0.000  0.000
Tb  0.178  0.178  0.178
Pm  0.756  0.756  0.756
I  0.589  0.589  0.589

No. 10
Density functional theory data (GGA-PBE) for a relaxed TbPmTeI crystal.

V   112 Å³/f.u.
Final energy   -4.546 eV per atom
E_form (uncorrected)   -23.71 kcal/mol of atoms

Lattice parameters (Å, degrees): 5.405 5.405 5.405 60.00 60.00 60.00
Sites, in units of the cell vectors:
Tb  0.000  0.000  0.000
Pm  0.500  0.500  0.500
Te  0.250  0.250  0.250
I  0.750  0.750  0.750

No. 11
Density functional theory data (GGA-PBE) for a relaxed Pm7TcI12 crystal.

V   834 Å³/f.u.
Final energy   -4.307 eV per atom
E_form (uncorrected)   -27.57 kcal/mol of atoms

Lattice parameters (Å, degrees): 10.027 10.027 10.027 107.23 107.23 107.23
Sites, in units of the cell vectors:
Pm  0.000  0.000  0.000
Pm  0.199  0.474  0.402
Pm  0.402  0.199  0.474
Pm  0.474  0.402  0.199
Pm  0.526  0.598  0.801
Pm  0.598  0.801  0.526
Pm  0.801  0.526  0.598
Tc  0.500  0.500  0.500
I  0.035  0.114  0.340
I  0.114  0.340  0.035
I  0.184  0.575  0.726
I  0.274  0.816  0.425
I  0.340  0.035  0.114
I  0.425  0.274  0.816
I  0.575  0.726  0.184
I  0.660  0.965  0.886
I  0.726  0.184  0.575
I  0.816  0.425  0.274
I  0.886  0.660  0.965
I  0.965  0.886  0.660

No. 12
Density functional theory data (GGA-PBE) for a relaxed Pm4TcI crystal.

V   188 Å³/f.u.
Final energy   -5.414 eV per atom
E_form (uncorrected)   -6.01 kcal/mol of atoms

Lattice parameters (Å, degrees): 8.489 8.489 6.558 106.59 106.59 112.07
Sites, in units of the cell vectors:
Pm  0.059  0.711  0.905
Pm  0.209  0.332  0.693
Pm  0.289  0.941  0.595
Pm  0.332  0.209  0.193
Pm  0.668  0.791  0.807
Pm  0.711  0.059  0.405
Pm  0.791  0.668  0.307
Pm  0.941  0.289  0.095
Tc  0.001  0.999  0.750
Tc  0.999  0.001  0.250
I  0.366  0.634  0.250
I  0.634  0.366  0.750

No. 13
Density functional theory data (GGA-PBE) for a relaxed Pm3TcI crystal.

V   154 Å³/f.u.
Final energy   -5.541 eV per atom
E_form (uncorrected)   -7.10 kcal/mol of atoms

Lattice parameters (Å, degrees): 9.190 3.842 9.506 90.00 113.68 90.00
Sites, in units of the cell vectors:
Pm  0.036  0.250  0.196
Pm  0.237  0.750  0.551
Pm  0.378  0.750  0.201
Pm  0.622  0.250  0.799
Pm  0.763  0.250  0.449
Pm  0.964  0.750  0.804
Tc  0.394  0.250  0.432
Tc  0.606  0.750  0.568
I  0.289  0.250  0.877
I  0.711  0.750  0.123

No. 14
Density functional theory data (GGA-PBE) for a relaxed Pm3TcI3 crystal.

V   249 Å³/f.u.
Final energy   -5.046 eV per atom
E_form (uncorrected)   -19.94 kcal/mol of atoms

Lattice parameters (Å, degrees): 9.200 4.311 12.555 90.00 93.22 90.00
Sites, in units of the cell vectors:
Pm  0.094  0.250  0.314
Pm  0.144  0.250  0.871
Pm  0.263  0.750  0.101
Pm  0.737  0.250  0.899
Pm  0.856  0.750  0.129
Pm  0.906  0.750  0.686
Tc  0.046  0.250  0.081
Tc  0.954  0.750  0.919
I  0.142  0.250  0.607
I  0.344  0.750  0.358
I  0.431  0.750  0.867
I  0.569  0.250  0.133
I  0.656  0.250  0.642
I  0.858  0.750  0.393

No. 15
Density functional theory data (GGA-PBE) for a relaxed PmThTcI crystal.

V   123 Å³/f.u.
Final energy   -6.438 eV per atom
E_form (uncorrected)   -9.60 kcal/mol of atoms

Lattice parameters (Å, degrees): 8.395 8.395 8.395 28.95 28.95 28.95
Sites, in units of the cell vectors:
Pm  0.000  0.000  0.000
Th  0.214  0.214  0.214
Tc  0.593  0.593  0.593
I  0.768  0.768  0.768

No. 16
Density functional theory data (GGA-PBE) for a relaxed Pm6Te8I crystal.

V   595 Å³/f.u.
Final energy   -4.971 eV per atom
E_form (uncorrected)   -29.79 kcal/mol of atoms

Lattice parameters (Å, degrees): 12.323 12.323 4.525 90.00 90.00 120.00
Sites, in units of the cell vectors:
Pm  0.139  0.477  0.249
Pm  0.338  0.861  0.249
Pm  0.477  0.338  0.751
Pm  0.523  0.662  0.249
Pm  0.662  0.139  0.751
Pm  0.861  0.523  0.751
Te  0.049  0.677  0.252
Te  0.323  0.372  0.252
Te  0.333  0.667  0.749
Te  0.372  0.049  0.748
Te  0.628  0.951  0.252
Te  0.667  0.333  0.251
Te  0.677  0.628  0.748
Te  0.951  0.323  0.748
I  0.000  0.000  0.000

No. 17
Density functional theory data (GGA-PBE) for a relaxed Pm2TeI2 crystal.

V   195 Å³/f.u.
Final energy   -4.521 eV per atom
E_form (uncorrected)   -31.65 kcal/mol of atoms

Lattice parameters (Å, degrees): 11.610 11.610 11.610 22.12 22.12 22.12
Sites, in units of the cell vectors:
Pm  0.117  0.117  0.117
Pm  0.883  0.883  0.883
Te  0.500  0.500  0.500
I  0.275  0.275  0.275
I  0.725  0.725  0.725

No. 18
Density functional theory data (GGA-PBE) for a relaxed Pm2TeI crystal.

Energy above the lowest structure with this stoichiometry   35 meV per atom
V   115 Å³/f.u.
Final energy   -4.647 eV per atom
E_form (uncorrected)   -25.35 kcal/mol of atoms

Lattice parameters (Å, degrees): 5.451 5.451 5.451 60.00 60.00 60.00
Sites, in units of the cell vectors:
Pm  0.250  0.250  0.250
Pm  0.750  0.750  0.750
Te  0.000  0.000  0.000
I  0.500  0.500  0.500

No. 19
Density functional theory data (GGA-PBE) for a relaxed Pm4Te3I4 crystal.

V   359 Å³/f.u.
Final energy   -4.422 eV per atom
E_form (uncorrected)   -29.38 kcal/mol of atoms

Lattice parameters (Å, degrees): 10.829 10.829 10.829 158.58 129.00 55.93
Sites, in units of the cell vectors:
Pm  0.225  0.000  0.225
Pm  0.229  0.229  0.000
Pm  0.771  0.771  0.000
Pm  0.775  0.000  0.775
Te  0.091  0.591  0.500
Te  0.500  0.500  0.000
Te  0.909  0.409  0.500
I  0.144  0.831  0.313
I  0.483  0.169  0.313
I  0.517  0.831  0.687
I  0.856  0.169  0.687

No. 20
Density functional theory data (GGA-PBE) for a relaxed Pm2TeI crystal.

Energy above the lowest structure with this stoichiometry   0 meV per atom
V   126 Å³/f.u.
Final energy   -4.682 eV per atom
E_form (uncorrected)   -26.15 kcal/mol of atoms

Lattice parameters (Å, degrees): 8.054 4.300 8.073 90.00 115.70 90.00
Sites, in units of the cell vectors:
Pm  0.201  0.250  0.039
Pm  0.278  0.750  0.456
Pm  0.722  0.250  0.544
Pm  0.799  0.750  0.961
Te  0.035  0.750  0.725
Te  0.965  0.250  0.275
I  0.472  0.250  0.783
I  0.528  0.750  0.217